SnHgNO: optimized geometry, GGA-PBE.

Results
The calculation puts the raw total energy at -0.310 Ry/atom.

Cell and atoms, written as extended XYZ:
```
8
Lattice="-2.804 -1.002 -3.887 -0.937 -4.447 1.823 -3.836 1.757 2.315" Properties=species:S:1:pos:R:3 pbc="T T T"
Hg -0.473 -2.221 0.914
Hg -5.233 1.253 0.368
N -3.317 0.376 -0.788
N -2.390 -1.344 2.070
O 0.000 0.000 0.000
O -1.870 -2.725 -1.032
Sn -1.918 0.878 1.157
Sn -3.788 -1.846 0.125
```

=====

SnHgNO: optimized geometry, GGA-PBE.

Results
The calculation puts the raw total energy at -0.323 Ry/atom.

Cell and atoms, written as extended XYZ:
```
16
Lattice="6.236 0.000 0.000 0.000 7.422 0.000 0.000 0.000 6.448" Properties=species:S:1:pos:R:3 pbc="T T T"
Hg 1.704 2.884 2.325
Hg 4.822 4.539 2.325
Hg 1.414 2.884 5.549
Hg 4.532 4.539 5.549
N 2.934 2.782 0.602
N 6.052 4.640 0.602
N 0.184 2.782 3.826
N 3.302 4.640 3.826
O 5.496 0.541 1.327
O 2.378 6.881 1.327
O 3.858 0.541 4.551
O 0.740 6.881 4.551
Sn 3.673 0.845 0.276
Sn 0.556 6.578 0.276
Sn 5.680 0.845 3.500
Sn 2.562 6.578 3.500
```

=====

SnHgNO: optimized geometry, GGA-PBE.

Results
The calculation puts the raw total energy at -0.328 Ry/atom.

Cell and atoms, written as extended XYZ:
```
8
Lattice="3.467 0.000 0.000 0.000 6.042 0.000 0.000 0.000 6.775" Properties=species:S:1:pos:R:3 pbc="T T T"
Hg 0.000 3.147 2.476
Hg 0.000 0.126 4.299
N 0.000 5.452 2.032
N 0.000 2.431 4.744
O 1.734 2.020 0.769
O 1.734 5.041 6.006
Sn 1.734 6.019 1.038
Sn 1.734 2.998 5.737
```

=====

TcHgNO: optimized geometry, GGA-PBE.

Results
The calculation puts the raw total energy at -0.414 Ry/atom. The calculation puts the total magnetization at 0.2 μB/cell.

Cell and atoms, written as extended XYZ:
```
8
Lattice="3.897 0.000 0.000 0.000 3.897 0.000 0.000 0.000 7.107" Properties=species:S:1:pos:R:3 pbc="T T T"
Hg 0.000 1.949 1.166
Hg 1.949 0.000 5.941
N 1.949 0.000 2.886
N 0.000 1.949 4.221
O 0.000 0.000 0.000
O 1.949 1.949 0.000
Tc 0.000 0.000 3.554
Tc 1.949 1.949 3.554
```

=====

TcHgNO: optimized geometry, GGA-PBE.

Results
The calculation puts the raw total energy at -0.458 Ry/atom. The calculation puts the total magnetization at 0.0 μB/cell.

Cell and atoms, written as extended XYZ:
```
8
Lattice="-1.568 -2.716 0.000 0.000 0.000 6.030 -6.819 3.937 0.000" Properties=species:S:1:pos:R:3 pbc="T T T"
Hg -1.666 -0.849 6.021
Hg -6.721 2.070 3.006
N -3.391 1.958 4.558
N -3.428 1.979 1.543
O -2.389 -0.431 2.996
O -5.998 1.653 6.010
Tc -2.551 1.473 3.032
Tc -4.268 2.464 0.017
```

=====

TcHgNO: optimized geometry, GGA-PBE.

Results
The calculation puts the raw total energy at -0.446 Ry/atom. The calculation puts the total magnetization at 0.0 μB/cell.

Cell and atoms, written as extended XYZ:
```
8
Lattice="2.837 -2.840 0.000 2.837 2.840 0.000 0.000 0.000 9.345" Properties=species:S:1:pos:R:3 pbc="T T T"
Hg 1.419 0.000 0.000
Hg 4.256 0.000 0.000
N 2.837 1.420 2.297
N 2.837 -1.420 7.048
O 1.419 0.000 4.672
O 4.256 0.000 4.672
Tc 2.837 1.420 3.940
Tc 2.837 -1.420 5.405
```

=====

TcHgNO: optimized geometry, GGA-PBE.

Results
The calculation puts the raw total energy at -0.453 Ry/atom. The calculation puts the total magnetization at 0.7 μB/cell.

Cell and atoms, written as extended XYZ:
```
16
Lattice="6.515 0.000 0.000 0.000 7.317 0.000 0.000 0.000 5.610" Properties=species:S:1:pos:R:3 pbc="T T T"
Hg 4.027 2.640 0.120
Hg 0.770 4.677 0.120
Hg 5.745 2.640 2.924
Hg 2.488 4.677 2.924
N 5.586 0.039 1.009
N 2.329 7.279 1.009
N 4.186 0.039 3.814
N 0.929 7.279 3.814
O 2.684 2.154 2.743
O 5.942 5.163 2.743
O 0.573 2.154 5.548
O 3.831 5.163 5.548
Tc 0.705 0.383 0.069
Tc 3.962 6.934 0.069
Tc 2.552 0.383 2.874
Tc 5.810 6.934 2.874
```

=====

TcHgNO: optimized geometry, GGA-PBE.

Results
The calculation puts the raw total energy at -0.456 Ry/atom. The calculation puts the total magnetization at 0.0 μB/cell.

Cell and atoms, written as extended XYZ:
```
8
Lattice="3.155 0.000 0.000 0.000 5.787 0.000 0.000 0.000 7.248" Properties=species:S:1:pos:R:3 pbc="T T T"
Hg 0.000 3.725 3.385
Hg 0.000 2.062 7.009
N 0.000 4.366 0.205
N 0.000 1.421 3.829
O 1.577 0.277 1.781
O 1.577 5.510 5.405
Tc 1.577 5.384 0.037
Tc 1.577 0.403 3.662
```

=====

TcHgNO: optimized geometry, GGA-PBE.

Results
The calculation puts the raw total energy at -0.453 Ry/atom. The calculation puts the total magnetization at 0.0 μB/cell.

Cell and atoms, written as extended XYZ:
```
16
Lattice="4.999 0.000 0.000 0.000 6.647 0.000 0.000 0.000 8.780" Properties=species:S:1:pos:R:3 pbc="T T T"
Hg 0.214 0.813 0.912
Hg 2.714 2.510 0.912
Hg 0.214 4.137 7.868
Hg 2.714 5.834 7.868
N 0.142 4.125 1.973
N 2.641 5.846 1.973
N 0.142 0.801 6.807
N 2.641 2.523 6.807
O 3.143 3.671 3.969
O 0.643 6.300 3.969
O 3.143 0.347 4.810
O 0.643 2.977 4.810
Tc 0.012 4.454 3.588
Tc 2.512 5.517 3.588
Tc 0.012 1.131 5.191
Tc 2.512 2.193 5.191
```

=====

HgTeNO: optimized geometry, GGA-PBE.

Results
The calculation puts the raw total energy at -0.292 Ry/atom.

Cell and atoms, written as extended XYZ:
```
16
Lattice="-3.208 -5.163 1.629 6.139 -3.160 2.073 -0.773 2.318 5.823" Properties=species:S:1:pos:R:3 pbc="T T T"
Hg -0.093 -0.955 2.853
Hg 2.467 -5.680 5.074
Hg -0.483 0.198 5.766
Hg 2.077 -4.527 7.987
N -0.785 -2.562 1.693
N 2.147 -7.479 4.039
N 0.222 0.841 3.896
N 3.155 -4.076 6.242
O 2.459 -1.574 1.724
O 1.409 -4.441 2.725
O 0.962 -2.202 5.199
O -0.088 -5.069 6.201
Te -0.463 -4.410 2.470
Te 3.450 -3.017 2.435
Te -1.080 -3.623 5.499
Te 2.833 -2.229 5.463
```

=====

HgTeNO: optimized geometry, GGA-PBE.

Results
The calculation puts the raw total energy at -0.284 Ry/atom.

Cell and atoms, written as extended XYZ:
```
8
Lattice="3.243 0.000 0.000 0.000 6.611 0.000 0.000 0.000 6.832" Properties=species:S:1:pos:R:3 pbc="T T T"
Hg 0.000 3.265 2.123
Hg 0.000 6.571 4.709
N 0.000 5.624 2.323
N 0.000 2.319 4.509
O 1.621 2.628 0.254
O 1.621 5.934 6.578
Te 1.621 0.078 1.486
Te 1.621 3.383 5.346
```

=====

HgTeNO: optimized geometry, GGA-PBE.

Results
The calculation puts the raw total energy at -0.245 Ry/atom.

Cell and atoms, written as extended XYZ:
```
8
Lattice="-1.141 -1.744 3.189 3.308 -1.884 0.153 3.255 6.081 4.491" Properties=species:S:1:pos:R:3 pbc="T T T"
Hg 1.599 1.261 4.675
Hg 3.823 1.192 3.157
N 2.548 -0.997 3.779
N 2.874 3.450 4.054
O -0.029 -1.779 2.430
O 2.196 -1.849 0.912
Te 1.045 0.033 1.530
Te 4.377 2.420 6.303
```

=====

HgTeNO: optimized geometry, GGA-PBE.

Results
The calculation puts the raw total energy at -0.287 Ry/atom.

Cell and atoms, written as extended XYZ:
```
8
Lattice="-2.075 -3.594 0.000 0.000 0.000 4.999 -5.599 3.233 0.000" Properties=species:S:1:pos:R:3 pbc="T T T"
Hg -1.834 -1.337 4.878
Hg -5.841 0.976 2.378
N -2.012 1.162 4.383
N -3.587 2.071 1.883
O -2.952 -0.692 2.139
O -4.722 0.330 4.638
Te -1.858 1.073 2.368
Te -3.741 2.160 4.867
```

=====

HgTeNO: optimized geometry, GGA-PBE.

Results
The calculation puts the raw total energy at -0.262 Ry/atom.

Cell and atoms, written as extended XYZ:
```
8
Lattice="-1.287 -4.463 1.631 2.474 0.814 4.178 -4.098 1.931 2.051" Properties=species:S:1:pos:R:3 pbc="T T T"
Hg 0.877 -2.731 4.363
Hg -3.788 1.012 3.496
N -1.746 0.050 2.475
N -1.165 -1.769 5.385
O -0.346 -3.144 2.268
O 1.534 -0.505 3.541
Te -2.396 -2.178 3.293
Te -0.515 0.460 4.566
```

=====

HgTeNO: optimized geometry, GGA-PBE.

Results
The calculation puts the raw total energy at -0.262 Ry/atom.

Cell and atoms, written as extended XYZ:
```
8
Lattice="-2.108 3.596 -2.554 2.436 -1.411 -3.997 -3.805 -3.100 -1.224" Properties=species:S:1:pos:R:3 pbc="T T T"
Hg -1.054 1.798 -1.277
Hg 1.218 -0.705 -1.998
N -2.955 0.249 -1.889
N -0.686 -2.257 -2.611
O 0.000 0.000 0.000
O 0.164 1.092 -3.276
Te -1.902 -1.550 -0.612
Te -1.739 -0.458 -3.888
```

=====

HgTeNO: optimized geometry, GGA-PBE.

Results
The calculation puts the raw total energy at -0.282 Ry/atom.

Cell and atoms, written as extended XYZ:
```
8
Lattice="3.597 3.655 -2.312 -5.510 -1.105 -0.261 -1.214 4.740 5.612" Properties=species:S:1:pos:R:3 pbc="T T T"
Hg -0.074 4.423 1.184
Hg -3.052 2.866 1.855
N -1.283 2.547 0.218
N -1.844 4.742 2.821
O 2.479 3.071 -2.060
O -4.392 -0.521 -0.513
Te -0.249 0.972 1.149
Te -2.877 6.318 1.890
```

=====

HgTeNO: optimized geometry, GGA-PBE.

Results
The calculation puts the raw total energy at -0.288 Ry/atom.

Cell and atoms, written as extended XYZ:
```
16
Lattice="7.241 0.000 0.000 0.000 8.364 0.000 0.000 0.000 5.005" Properties=species:S:1:pos:R:3 pbc="T T T"
Hg 6.183 2.941 2.449
Hg 2.563 5.424 2.449
Hg 4.679 2.941 4.951
Hg 1.058 5.424 4.951
N 2.655 1.413 0.581
N 6.276 6.951 0.581
N 0.965 1.413 3.083
N 4.586 6.951 3.083
O 0.290 3.248 0.420
O 3.910 5.116 0.420
O 3.331 3.248 2.923
O 6.952 5.116 2.923
Te 0.728 1.415 0.066
Te 4.349 6.949 0.066
Te 2.892 1.415 2.569
Te 6.513 6.949 2.569
```

=====

TlHgNO: optimized geometry, GGA-PBE.

Results
The calculation puts the raw total energy at -0.265 Ry/atom.

Cell and atoms, written as extended XYZ:
```
8
Lattice="4.280 0.000 0.000 0.000 4.280 0.000 0.000 0.000 8.281" Properties=species:S:1:pos:R:3 pbc="T T T"
Hg 0.000 0.000 4.140
Hg 2.140 2.140 4.140
N 0.000 2.140 3.129
N 2.140 0.000 5.152
O 0.000 0.000 0.000
O 2.140 2.140 0.000
Tl 0.000 2.140 0.946
Tl 2.140 0.000 7.335
```

=====

TlHgNO: optimized geometry, GGA-PBE.

Results
The calculation puts the raw total energy at -0.267 Ry/atom.

Cell and atoms, written as extended XYZ:
```
16
Lattice="-0.301 -5.942 0.177 4.658 -0.104 4.442 -5.238 0.429 5.502" Properties=species:S:1:pos:R:3 pbc="T T T"
Hg -0.356 -5.882 1.133
Hg 1.227 -2.943 2.411
Hg -2.255 -5.588 7.797
Hg -0.673 -2.649 9.074
N -0.513 -3.631 1.223
N 1.198 -0.694 2.623
N -2.000 -3.370 7.452
N -0.289 -0.434 8.852
O 0.533 -3.496 4.939
O 2.099 -0.556 6.200
O -2.893 -3.354 3.870
O -1.327 -0.415 5.131
Tl 0.470 -5.737 4.711
Tl 2.277 -2.802 6.202
Tl -3.297 -5.567 4.001
Tl -1.491 -2.633 5.492
```

=====

TlHgNO: optimized geometry, GGA-PBE.

Results
The calculation puts the raw total energy at -0.268 Ry/atom.

Cell and atoms, written as extended XYZ:
```
8
Lattice="1.235 1.885 3.082 0.336 -5.169 3.026 6.013 -0.750 -1.950" Properties=species:S:1:pos:R:3 pbc="T T T"
Hg 2.038 -4.263 4.155
Hg 5.701 -2.156 1.400
N 2.263 -4.780 2.017
N 4.172 -2.455 -0.170
O 1.840 -1.216 2.371
O 5.840 -4.279 2.642
Tl 2.224 -2.866 0.862
Tl 3.961 -0.519 -1.269
```